1.
# HoVGa, relaxed, DFT PBE
data_HoVGa
_chemical_formula_sum 'Ho2 V2 Ga2'
_cell_length_a 3.449
_cell_length_b 3.449
_cell_length_c 10.169
_cell_angle_alpha 90.00
_cell_angle_beta 90.00
_cell_angle_gamma 90.00
_space_group_name_H-M_alt 'I 4 m m'
_space_group_IT_number 107
_space_group_name_Hall 'I 4 -2'
loop_
_atom_site_label
_atom_site_type_symbol
_atom_site_fract_x
_atom_site_fract_y
_atom_site_fract_z
Ho1 Ho 0.000 0.000 0.000
V1 V 0.000 0.000 0.307
Ga1 Ga 0.000 0.000 0.693
# Distance to the lowest polymorph of the same formula in meV/atom: 0
# Calculated density in g/cm³: 7.8
# E_form in eV/f.u.: -0.15

***

2.
# HoGa2W, relaxed, DFT PBE
data_HoGa2W
_chemical_formula_sum 'Ho3 Ga6 W3'
_cell_length_a 3.0254
_cell_length_b 3.0254
_cell_length_c 28.4813
_cell_angle_alpha 90.00
_cell_angle_beta 90.00
_cell_angle_gamma 120.00
_space_group_name_H-M_alt 'R -3 m'
_space_group_IT_number 166
_space_group_name_Hall '-R 3 2"'
loop_
_atom_site_label
_atom_site_type_symbol
_atom_site_fract_x
_atom_site_fract_y
_atom_site_fract_z
Ho1 Ho 0.0000 0.0000 0.0000
Ga1 Ga 0.0000 0.0000 0.2421
W1 W 0.0000 0.0000 0.5000
# Calculated density in g/cm³: 10.8
# E_form in eV/f.u.: 0.48

***

3.
# YHo2Ga4, relaxed, DFT PBE
data_YHo2Ga4
_chemical_formula_sum 'Y2 Ho4 Ga8'
_cell_length_a 4.122
_cell_length_b 4.239
_cell_length_c 18.183
_cell_angle_alpha 90.00
_cell_angle_beta 90.00
_cell_angle_gamma 90.00
_space_group_name_H-M_alt 'I m m m'
_space_group_IT_number 71
_space_group_name_Hall '-I 2 2'
loop_
_atom_site_label
_atom_site_type_symbol
_atom_site_fract_x
_atom_site_fract_y
_atom_site_fract_z
Y1 Y 0.000 0.000 0.000
Ho1 Ho 0.000 0.500 0.315
Ga1 Ga 0.000 0.000 0.433
Ga2 Ga 0.000 0.500 0.147
# Calculated density in g/cm³: 7.3
# E_form in eV/f.u.: -4.49

***

4.
# YHoGa, relaxed, DFT PBE
data_YHoGa
_chemical_formula_sum 'Y3 Ho3 Ga3'
_cell_length_a 7.9454
_cell_length_b 7.9454
_cell_length_c 4.3380
_cell_angle_alpha 90.00
_cell_angle_beta 90.00
_cell_angle_gamma 120.00
_space_group_name_H-M_alt 'P -6 2 m'
_space_group_IT_number 189
_space_group_name_Hall 'P -6 -2'
loop_
_atom_site_label
_atom_site_type_symbol
_atom_site_fract_x
_atom_site_fract_y
_atom_site_fract_z
Y1 Y 0.0000 0.4062 0.0000
Ho1 Ho 0.0000 0.7397 0.5000
Ga1 Ga 0.0000 0.0000 0.0000
Ga2 Ga 0.3333 0.6667 0.5000
# Distance to the lowest polymorph of the same formula in meV/atom: 0
# Calculated density in g/cm³: 6.8
# E_form in eV/f.u.: -1.25

***

5.
# Y3Ho2Ga2, relaxed, DFT PBE
data_Y3Ho2Ga2
_chemical_formula_sum 'Y6 Ho4 Ga4'
_cell_length_a 12.971
_cell_length_b 3.728
_cell_length_c 8.819
_cell_angle_alpha 90.00
_cell_angle_beta 114.43
_cell_angle_gamma 90.00
_space_group_name_H-M_alt 'C 1 2/m 1'
_space_group_IT_number 12
_space_group_name_Hall '-C 2y'
loop_
_atom_site_label
_atom_site_type_symbol
_atom_site_fract_x
_atom_site_fract_y
_atom_site_fract_z
Y1 Y 0.000 0.000 0.000
Y2 Y 0.112 0.000 0.438
Ho1 Ho 0.147 0.500 0.810
Ga1 Ga 0.184 0.500 0.218
# Calculated density in g/cm³: 6.3
# E_form in eV/f.u.: -2.41

***

6.
# Y4Ho3Ga4, relaxed, DFT PBE
data_Y4Ho3Ga4
_chemical_formula_sum 'Y8 Ho6 Ga8'
_cell_length_a 3.563
_cell_length_b 9.065
_cell_length_c 17.717
_cell_angle_alpha 90.00
_cell_angle_beta 90.00
_cell_angle_gamma 90.00
_space_group_name_H-M_alt 'I m m m'
_space_group_IT_number 71
_space_group_name_Hall '-I 2 2'
loop_
_atom_site_label
_atom_site_type_symbol
_atom_site_fract_x
_atom_site_fract_y
_atom_site_fract_z
Y1 Y 0.000 0.186 0.166
Ho1 Ho 0.000 0.000 0.404
Ho2 Ho 0.000 0.500 0.500
Ga1 Ga 0.000 0.277 0.000
Ga2 Ga 0.000 0.500 0.229
# Calculated density in g/cm³: 6.6
# E_form in eV/f.u.: -4.71

***

7.
# YHoGa4, relaxed, DFT PBE
data_YHoGa4
_chemical_formula_sum 'Y2 Ho2 Ga8'
_cell_length_a 4.250
_cell_length_b 6.980
_cell_length_c 8.225
_cell_angle_alpha 90.00
_cell_angle_beta 90.00
_cell_angle_gamma 90.00
_space_group_name_H-M_alt 'I m m 2'
_space_group_IT_number 44
_space_group_name_Hall 'I 2 -2'
loop_
_atom_site_label
_atom_site_type_symbol
_atom_site_fract_x
_atom_site_fract_y
_atom_site_fract_z
Y1 Y 0.000 0.000 0.000
Ho1 Ho 0.000 0.500 0.879
Ga1 Ga 0.000 0.197 0.601
Ga2 Ga 0.000 0.301 0.278
# Distance to the lowest polymorph of the same formula in meV/atom: 9
# Calculated density in g/cm³: 7.3
# E_form in eV/f.u.: -3.82

***

8.
# YHoGa, relaxed, DFT PBE
data_YHoGa
_chemical_formula_sum 'Y1 Ho1 Ga1'
_cell_length_a 4.9606
_cell_length_b 4.9606
_cell_length_c 3.6634
_cell_angle_alpha 90.00
_cell_angle_beta 90.00
_cell_angle_gamma 120.00
_space_group_name_H-M_alt 'P 3 m 1'
_space_group_IT_number 156
_space_group_name_Hall 'P 3 -2"'
loop_
_atom_site_label
_atom_site_type_symbol
_atom_site_fract_x
_atom_site_fract_y
_atom_site_fract_z
Y1 Y 0.0000 0.0000 0.0000
Ho1 Ho 0.3333 0.6667 0.4650
Ga1 Ga 0.6667 0.3333 0.7109
# Distance to the lowest polymorph of the same formula in meV/atom: 137
# Calculated density in g/cm³: 6.9
# E_form in eV/f.u.: -0.84

***

9.
# YHoGa2, relaxed, DFT PBE
data_YHoGa2
_chemical_formula_sum 'Y3 Ho3 Ga6'
_cell_length_a 3.6514
_cell_length_b 3.6514
_cell_length_c 25.9439
_cell_angle_alpha 90.00
_cell_angle_beta 90.00
_cell_angle_gamma 120.00
_space_group_name_H-M_alt 'R -3 m'
_space_group_IT_number 166
_space_group_name_Hall '-R 3 2"'
loop_
_atom_site_label
_atom_site_type_symbol
_atom_site_fract_x
_atom_site_fract_y
_atom_site_fract_z
Y1 Y 0.0000 0.0000 0.0000
Ho1 Ho 0.0000 0.0000 0.5000
Ga1 Ga 0.0000 0.0000 0.2496
# Calculated density in g/cm³: 6.5
# E_form in eV/f.u.: -1.75

***

10.
# Y2HoGa, relaxed, DFT PBE
data_Y2HoGa
_chemical_formula_sum 'Y8 Ho4 Ga4'
_cell_length_a 7.535
_cell_length_b 7.535
_cell_length_c 7.535
_cell_angle_alpha 90.00
_cell_angle_beta 90.00
_cell_angle_gamma 90.00
_space_group_name_H-M_alt 'F m -3 m'
_space_group_IT_number 225
_space_group_name_Hall '-F 4 2 3'
loop_
_atom_site_label
_atom_site_type_symbol
_atom_site_fract_x
_atom_site_fract_y
_atom_site_fract_z
Y1 Y 0.250 0.250 0.250
Ho1 Ho 0.000 0.000 0.000
Ga1 Ga 0.000 0.000 0.500
# Distance to the lowest polymorph of the same formula in meV/atom: 214
# Calculated density in g/cm³: 6.4
# E_form in eV/f.u.: -0.34

***

11.
# Y3HoGa2, relaxed, DFT PBE
data_Y3HoGa2
_chemical_formula_sum 'Y6 Ho2 Ga4'
_cell_length_a 4.952
_cell_length_b 9.485
_cell_length_c 6.592
_cell_angle_alpha 90.00
_cell_angle_beta 90.00
_cell_angle_gamma 90.00
_space_group_name_H-M_alt 'P m c 21'
_space_group_IT_number 26
_space_group_name_Hall 'P 2c -2'
loop_
_atom_site_label
_atom_site_type_symbol
_atom_site_fract_x
_atom_site_fract_y
_atom_site_fract_z
Y1 Y 0.000 0.050 0.000
Y2 Y 0.000 0.322 0.360
Y3 Y 0.500 0.181 0.707
Ho1 Ho 0.500 0.450 0.068
Ga1 Ga 0.000 0.360 0.826
Ga2 Ga 0.500 0.140 0.243
# Distance to the lowest polymorph of the same formula in meV/atom: 0
# Calculated density in g/cm³: 6.1
# E_form in eV/f.u.: -2.67

***

12.
# Y2HoGa, relaxed, DFT PBE
data_Y2HoGa
_chemical_formula_sum 'Y8 Ho4 Ga4'
_cell_length_a 3.675
_cell_length_b 12.806
_cell_length_c 9.560
_cell_angle_alpha 90.00
_cell_angle_beta 90.00
_cell_angle_gamma 90.00
_space_group_name_H-M_alt 'C m c m'
_space_group_IT_number 63
_space_group_name_Hall '-C 2c 2'
loop_
_atom_site_label
_atom_site_type_symbol
_atom_site_fract_x
_atom_site_fract_y
_atom_site_fract_z
Y1 Y 0.000 0.134 0.051
Ho1 Ho 0.000 0.444 0.250
Ga1 Ga 0.000 0.244 0.750
# Distance to the lowest polymorph of the same formula in meV/atom: 0
# Calculated density in g/cm³: 6.1
# E_form in eV/f.u.: -1.20

***

What did we get for DOS at the Fermi energy? Answer: 5.22, 9.32, 10.16, 9.21, 14.31, 20.16, 6.27, 1.96, 5.80, 24.24, 11.71, 20.42 states/eV/cell, in the order shown.